Ba2CaSn4Au3 | PBE | relaxed

The structure belongs to space group P-4m2 (No. 115); the cell edges are 4.8345, 4.8345 and 12.3196 Å and the angles 90.00°, 90.00° and 90.00°. The inequivalent atoms are Ba at (0.0000, 0.5000, 0.2375), Ca at (0.0000, 0.0000, 0.5000), Sn at (0.0000, 0.0000, 0.0000), Sn at (0.0000, 0.5000, 0.6525), Sn at (0.5000, 0.5000, 0.0000), Au at (0.0000, 0.5000, 0.8761) and Au at (0.5000, 0.5000, 0.5000).

The total moment comes out at 0.00 μB per formula unit. The calculation puts the energy of formation at -5.92 eV/f.u. As for the crystal system: tetragonal.

Ba2CaSnAu6 | PBE | relaxed

The structure belongs to space group Fm-3m (No. 225); the cell edges are 10.9366, 10.9366 and 10.9366 Å and the angles 90.00°, 90.00° and 90.00°. The inequivalent atoms are Ba at (0.2500, 0.2500, 0.2500), Ca at (0.0000, 0.0000, 0.0000), Sn at (0.0000, 0.0000, 0.5000) and Au at (0.0000, 0.0000, 0.2550).

The total moment comes out at 0.00 μB per formula unit. The calculation puts the energy of formation at -3.06 eV/f.u. As for the crystal system: cubic.

BaSr2CaAu | PBE | relaxed

The structure belongs to space group P4/mmm (No. 123); the cell edges are 6.1765, 6.1765 and 6.4143 Å and the angles 90.00°, 90.00° and 90.00°. The inequivalent atoms are Ba at (0.0000, 0.0000, 0.0000), Sr at (0.0000, 0.5000, 0.5000), Ca at (0.5000, 0.5000, 0.0000) and Au at (0.0000, 0.0000, 0.5000).

The total moment comes out at 0.00 μB per formula unit. Its excess energy over the best structure of this formula in the dataset is 44 meV/atom. The calculation puts the energy of formation at -1.47 eV/f.u. As for the crystal system: tetragonal.

BaSrCa2Au4 | PBE | relaxed

The structure belongs to space group R-3m (No. 166, hexagonal axes); the cell edges are 5.1129, 5.1129 and 30.6628 Å and the angles 90.00°, 90.00° and 120.00°. The inequivalent atoms are Ba at (0.0000, 0.0000, 0.0000), Sr at (0.0000, 0.0000, 0.5000), Ca at (0.0000, 0.0000, 0.2442), Au at (0.0000, 0.0000, 0.1154) and Au at (0.0000, 0.0000, 0.3952).

The total moment comes out at 0.00 μB per formula unit. The calculation puts the energy of formation at -5.71 eV/f.u. As for the crystal system: trigonal.

BaSrCa2Au | PBE | relaxed

The structure belongs to space group P4/mmm (No. 123); the cell edges are 5.9442, 5.9442 and 6.3474 Å and the angles 90.00°, 90.00° and 90.00°. The inequivalent atoms are Ba at (0.0000, 0.0000, 0.0000), Sr at (0.5000, 0.5000, 0.0000), Ca at (0.0000, 0.5000, 0.5000) and Au at (0.0000, 0.0000, 0.5000).

The total moment comes out at 0.00 μB per formula unit. Its excess energy over the best structure of this formula in the dataset is 21 meV/atom. The calculation puts the energy of formation at -1.58 eV/f.u. As for the crystal system: tetragonal.

BaSr2CaAu | PBE | relaxed

The structure belongs to space group P4/mmm (No. 123); the cell edges are 6.2393, 6.2393 and 5.9472 Å and the angles 90.00°, 90.00° and 90.00°. The inequivalent atoms are Ba at (0.0000, 0.0000, 0.0000), Sr at (0.0000, 0.5000, 0.5000), Ca at (0.5000, 0.5000, 0.0000) and Au at (0.5000, 0.5000, 0.5000).

The total moment comes out at 0.00 μB per formula unit. Its excess energy over the best structure of this formula in the dataset is 0 meV/atom. The calculation puts the energy of formation at -1.69 eV/f.u. As for the crystal system: tetragonal.

BaSrCa2Au | PBE | relaxed

The structure belongs to space group P4/mmm (No. 123); the cell edges are 5.9498, 5.9498 and 6.1686 Å and the angles 90.00°, 90.00° and 90.00°. The inequivalent atoms are Ba at (0.0000, 0.0000, 0.0000), Sr at (0.5000, 0.5000, 0.0000), Ca at (0.0000, 0.5000, 0.5000) and Au at (0.5000, 0.5000, 0.5000).

The total moment comes out at 0.00 μB per formula unit. Its excess energy over the best structure of this formula in the dataset is 0 meV/atom. The calculation puts the energy of formation at -1.68 eV/f.u. As for the crystal system: tetragonal.

BaCa2TbAu4 | PBE | relaxed

The structure belongs to space group R-3m (No. 166, hexagonal axes); the cell edges are 5.1476, 5.1476 and 28.0929 Å and the angles 90.00°, 90.00° and 120.00°. The inequivalent atoms are Ba at (0.0000, 0.0000, 0.0000), Ca at (0.0000, 0.0000, 0.2420), Tb at (0.0000, 0.0000, 0.5000), Au at (0.0000, 0.0000, 0.1317) and Au at (0.0000, 0.0000, 0.3948).

The total moment comes out at 0.00 μB per formula unit. The calculation puts the energy of formation at -6.10 eV/f.u. As for the crystal system: trigonal.

BaCa2TiAu | PBE | relaxed

The structure belongs to space group P4/mmm (No. 123); the cell edges are 6.0278, 6.0278 and 5.5091 Å and the angles 90.00°, 90.00° and 90.00°. The inequivalent atoms are Ba at (0.0000, 0.0000, 0.0000), Ca at (0.0000, 0.5000, 0.0000), Ti at (0.5000, 0.5000, 0.5000) and Au at (0.0000, 0.0000, 0.5000).

The total moment comes out at 0.15 μB per formula unit. The calculation puts the energy of formation at 6.62 eV/f.u. As for the crystal system: tetragonal.

Ba2CaTl6Au | PBE | relaxed

The structure belongs to space group Fm-3m (No. 225); the cell edges are 11.4274, 11.4274 and 11.4274 Å and the angles 90.00°, 90.00° and 90.00°. The inequivalent atoms are Ba at (0.2500, 0.2500, 0.2500), Ca at (0.0000, 0.0000, 0.0000), Tl at (0.0000, 0.0000, 0.2580) and Au at (0.0000, 0.0000, 0.5000).

The total moment comes out at 0.00 μB per formula unit. The calculation puts the energy of formation at -1.54 eV/f.u. As for the crystal system: cubic.

BaCa2YAu | PBE | relaxed

The structure belongs to space group P4/mmm (No. 123); the cell edges are 5.9222, 5.9222 and 5.6517 Å and the angles 90.00°, 90.00° and 90.00°. The inequivalent atoms are Ba at (0.0000, 0.0000, 0.0000), Ca at (0.0000, 0.5000, 0.5000), Y at (0.5000, 0.5000, 0.0000) and Au at (0.5000, 0.5000, 0.5000).

The total moment comes out at 0.00 μB per formula unit. The calculation puts the energy of formation at -1.34 eV/f.u. As for the crystal system: tetragonal.

Ba3Ca2Zn2Au4 | PBE | relaxed

The structure belongs to space group P-3m1 (No. 164); the cell edges are 4.7931, 4.7931 and 17.2620 Å and the angles 90.00°, 90.00° and 120.00°. The inequivalent atoms are Ba at (0.0000, 0.0000, 0.0000), Ba at (0.0000, 0.0000, 0.2542), Ca at (0.3333, 0.6667, 0.5651), Zn at (0.3333, 0.6667, 0.1280), Au at (0.3333, 0.6667, 0.3772) and Au at (0.3333, 0.6667, 0.8712).

The total moment comes out at 0.00 μB per formula unit. The calculation puts the energy of formation at -6.34 eV/f.u. As for the crystal system: trigonal.